Ac6RhAu2 | PBE | relaxed

- Size of the total moment: 0.000 μB per atom

Geometry as CIF:
```
data_Ac6RhAu2
_chemical_formula_sum 'Ac12 Rh2 Au4'
_cell_length_a 7.369
_cell_length_b 7.981
_cell_length_c 12.949
_cell_angle_alpha 90.00
_cell_angle_beta 120.07
_cell_angle_gamma 90.00
_space_group_name_H-M_alt 'P 1 21/c 1'
_space_group_IT_number 14
_space_group_name_Hall '-P 2ybc'
loop_
_atom_site_label
_atom_site_fract_x
_atom_site_fract_y
_atom_site_fract_z
Ac1 0.100 0.041 0.252
Ac2 0.241 0.683 0.072
Ac3 0.381 0.193 0.065
Rh1 0.000 0.000 0.000
Au1 0.330 0.109 0.773
```

***

Ac6Rh2Au | PBE | relaxed

- Energy above the lowest structure with this stoichiometry: 0.068 eV/atom
- Size of the total moment: 0.000 μB per atom

Geometry as CIF:
```
data_Ac6Rh2Au
_chemical_formula_sum 'Ac12 Rh4 Au2'
_cell_length_a 13.962
_cell_length_b 5.784
_cell_length_c 9.827
_cell_angle_alpha 90.00
_cell_angle_beta 118.68
_cell_angle_gamma 90.00
_space_group_name_H-M_alt 'C 1 2/m 1'
_space_group_IT_number 12
_space_group_name_Hall '-C 2y'
loop_
_atom_site_label
_atom_site_fract_x
_atom_site_fract_y
_atom_site_fract_z
Ac1 0.019 0.000 0.208
Ac2 0.150 0.500 0.563
Ac3 0.199 0.500 0.100
Rh1 0.182 0.000 0.099
Au1 0.000 0.000 0.500
```

***

Ac3RhAu2 | PBE | relaxed

- Energy above the lowest structure with this stoichiometry: 0.012 eV/atom
- Size of the total moment: 0.000 μB per atom

Geometry as CIF:
```
data_Ac3RhAu2
_chemical_formula_sum 'Ac12 Rh4 Au8'
_cell_length_a 14.389
_cell_length_b 6.317
_cell_length_c 8.765
_cell_angle_alpha 90.00
_cell_angle_beta 107.73
_cell_angle_gamma 90.00
_space_group_name_H-M_alt 'C 1 2/c 1'
_space_group_IT_number 15
_space_group_name_Hall '-C 2yc'
loop_
_atom_site_label
_atom_site_fract_x
_atom_site_fract_y
_atom_site_fract_z
Ac1 0.000 0.000 0.250
Ac2 0.149 0.499 0.075
Rh1 0.000 0.500 0.250
Au1 0.173 0.001 0.586
```

***

For reference, formation energy from the elements by record: -0.543; -0.446; -0.776 eV per atom.